VASP calculation (PBE-GGA) on a relaxed structure of SrOs2Se.

abc: 2.8654 3.7614 7.7600
angles: 90.00 90.00 90.00
Last column: nearest neighbours and their distance in Å.
Space group Pmm2 (No. 25)
Unique sites:
Sr  0.0000  0.0000  0.0000 [1 per cell]  2 Sr 2.87, 4 Se 3.10
Os  0.0000  0.0000  0.4366 [1 per cell]  6 Os 2.56-2.87
Os  0.5000  0.5000  0.3097 [1 per cell]  6 Os 2.56-2.87
Se  0.5000  0.5000  0.7420 [1 per cell]  2 Se 2.87, 4 Sr 3.10

**Spin magnetization**: 0.00 μB/f.u.
**Total DFT energy (no corrections)**: -26.34 eV per formula unit
**Energy relative to the elements, uncorrected**: 30.91 kJ per mole of atoms
**D(E_F)**: 3.1 states/eV per cell

---

VASP calculation (PBE-GGA) on a relaxed structure of Ac2Tb3Dy7.

abc: 6.4318 3.5995 17.5556
angles: 90.00 90.17 90.00
Last column: nearest neighbours and their distance in Å.
Space group P2/m (No. 10)
Unique sites:
Ac  0.0057  0.0000  0.1752 [2 per cell]  5 Dy 3.50-3.60, 2 Ac 3.60, 4 Tb 3.66-3.73
Tb  0.0000  0.0000  0.5000 [1 per cell]  10 Dy 3.52-3.69, 2 Tb 3.60
Tb  0.4989  0.5000  0.1590 [2 per cell]  2 Tb 3.60, 4 Ac 3.66-3.73, 7 Dy 3.66-3.81
Dy  0.1771  0.5000  0.3408 [2 per cell]  7 Dy 3.48-3.73, 3 Tb 3.52-3.81, 2 Ac 3.59
Dy  0.2606  0.0000  0.9996 [2 per cell]  2 Dy 3.08-3.35
Dy  0.3315  0.0000  0.6619 [2 per cell]  8 Dy 3.54-3.73, 3 Tb 3.55-3.78, 1 Ac 3.60
Dy  0.5000  0.5000  0.5000 [1 per cell]  8 Dy 3.48-3.60, 4 Tb 3.69

**Spin magnetization**: 0.00 μB/f.u.
**Total DFT energy (no corrections)**: -53.05 eV per formula unit
**D(E_F)**: 19.1 states/eV per cell

---

VASP calculation (PBE-GGA) on a relaxed structure of Co2GeH.

abc: 4.1288 4.1288 10.2199
angles: 90.00 90.00 120.00
Last column: nearest neighbours and their distance in Å.
Space group R-3m (No. 166, hexagonal axes)
Unique sites:
Co  0.0000  0.0000  0.1544 [6 per cell]  1 H 1.58
Ge  0.0000  0.0000  0.5000 [3 per cell]  6 Co 2.39
H  0.0000  0.0000  0.0000 [3 per cell]  2 Co 1.58

**Spin magnetization**: 1.54 μB/f.u.
**Total DFT energy (no corrections)**: -20.93 eV per formula unit
**D(E_F)**: 13.0 states/eV per cell

---

VASP calculation (PBE-GGA) on a relaxed structure of Co2BOs2.

abc: 5.5497 5.5497 4.0889
angles: 90.00 90.00 90.00
Last column: nearest neighbours and their distance in Å.
Space group P4/mbm (No. 127)
Unique sites:
Co  0.1537  0.3463  0.0000 [4 per cell]  1 Co 2.41, 6 Os 2.52-2.68
B  0.0000  0.0000  0.5000 [2 per cell]  4 Os 2.09
Os  0.1580  0.6580  0.5000 [4 per cell]  2 B 2.09

**Spin magnetization**: 3.10 μB/f.u.
**Total DFT energy (no corrections)**: -41.92 eV per formula unit
**D(E_F)**: 6.3 states/eV per cell

---

VASP calculation (PBE-GGA) on a relaxed structure of Pa2PtPb.

abc: 3.3357 3.3357 8.6331
angles: 90.00 90.00 90.00
Last column: nearest neighbours and their distance in Å.
Space group P4/mmm (No. 123)
Unique sites:
Pa  0.0000  0.0000  0.2178 [2 per cell]  4 Pt 3.02, 4 Pa 3.34
Pt  0.5000  0.5000  0.0000 [1 per cell]  8 Pa 3.02, 4 Pt 3.34
Pb  0.5000  0.5000  0.5000 [1 per cell]  4 Pb 3.34, 8 Pa 3.39

**Spin magnetization**: 0.53 μB/f.u.
**Total DFT energy (no corrections)**: -30.32 eV per formula unit
**D(E_F)**: 7.4 states/eV per cell

---

VASP calculation (PBE-GGA) on a relaxed structure of LaTb3Ag4.

abc: 10.4671 7.3747 5.2341
angles: 90.00 90.00 90.00
Last column: nearest neighbours and their distance in Å.
Space group Pmma (No. 51)
Unique sites:
La  0.0000  0.0000  0.0000 [2 per cell]  8 Ag 3.26
Tb  0.0000  0.5000  0.0000 [2 per cell]  8 Ag 3.14
Tb  0.2500  0.0000  0.4993 [2 per cell]  8 Ag 3.26
Tb  0.2500  0.5000  0.4996 [2 per cell]  8 Ag 3.14-3.15
Ag  0.0000  0.2636  0.5000 [4 per cell]  6 Tb 3.14-3.26, 2 La 3.26, 1 Ag 3.49
Ag  0.2500  0.2634  0.9990 [4 per cell]  6 Tb 3.14-3.26, 2 La 3.26, 1 Ag 3.49

**Spin magnetization**: 0.00 μB/f.u.
**Total DFT energy (no corrections)**: -32.54 eV per formula unit
**D(E_F)**: 12.0 states/eV per cell

---

VASP calculation (PBE-GGA) on a relaxed structure of La2Be2Pd.

abc: 6.6821 6.6821 4.5314
angles: 90.00 90.00 90.00
Last column: nearest neighbours and their distance in Å.
Space group P4/mbm (No. 127)
Unique sites:
La  0.1712  0.3288  0.0000 [4 per cell]  6 Be 2.97-3.02, 1 La 3.24
Be  0.1248  0.6248  0.5000 [4 per cell]  1 Be 2.36, 2 Pd 2.64
Pd  0.0000  0.0000  0.5000 [2 per cell]  4 Be 2.64

**Spin magnetization**: 0.00 μB/f.u.
**Total DFT energy (no corrections)**: -23.02 eV per formula unit
**D(E_F)**: 8.3 states/eV per cell

---

VASP calculation (PBE-GGA) on a relaxed structure of LaCo4.

abc: 4.5544 4.5544 4.5544
angles: 90.00 90.00 90.00
Last column: nearest neighbours and their distance in Å.
Space group Pm-3m (No. 221)
Unique sites:
La  0.0000  0.0000  0.0000 [1 per cell]  6 Co 2.28
Co  0.0000  0.0000  0.5000 [3 per cell]  2 La 2.28
Co  0.5000  0.5000  0.5000 [1 per cell]  12 Co 3.22

**Spin magnetization**: 4.77 μB/f.u.
**Total DFT energy (no corrections)**: -24.18 eV per formula unit
**D(E_F)**: 7.7 states/eV per cell

---

VASP calculation (PBE-GGA) on a relaxed structure of Pr2Ge4PdAu3.

abc: 4.4009 4.4009 10.7745
angles: 90.00 90.00 90.00
Last column: nearest neighbours and their distance in Å.
Space group P-4m2 (No. 115)
Unique sites:
Pr  0.0000  0.5000  0.2391 [2 per cell]  8 Ge 3.33-3.57, 6 Au 3.39, 2 Pd 3.39
Ge  0.0000  0.0000  0.5000 [1 per cell]  4 Au 2.65
Ge  0.0000  0.5000  0.8713 [2 per cell]  3 Au 2.52-2.60, 2 Pd 2.60
Ge  0.5000  0.5000  0.5000 [1 per cell]  4 Au 2.65
Pd  0.5000  0.5000  0.0000 [1 per cell]  4 Ge 2.60
Au  0.0000  0.0000  0.0000 [1 per cell]  4 Ge 2.60
Au  0.0000  0.5000  0.6372 [2 per cell]  5 Ge 2.52-2.65

**Spin magnetization**: 0.00 μB/f.u.
**Total DFT energy (no corrections)**: -49.24 eV per formula unit
**D(E_F)**: 4.5 states/eV per cell

---

VASP calculation (PBE-GGA) on a relaxed structure of YTlO.

abc: 3.9992 3.9992 8.0499
angles: 90.00 90.00 90.00
Last column: nearest neighbours and their distance in Å.
Space group P4/nmm (No. 129, origin choice 2)
Unique sites:
Y  0.2500  0.2500  0.1309 [2 per cell]  4 O 2.26
Tl  0.2500  0.2500  0.5957 [2 per cell]  4 Tl 3.22, 4 Y 3.58
O  0.2500  0.7500  0.0000 [2 per cell]  4 Y 2.26

**Spin magnetization**: 0.00 μB/f.u.
**Total DFT energy (no corrections)**: -19.97 eV per formula unit
**Energy relative to the elements, uncorrected**: -198.70 kJ per mole of atoms
**D(E_F)**: 3.0 states/eV per cell

---

VASP calculation (PBE-GGA) on a relaxed structure of YRe2Mo.

abc: 3.1981 3.1981 7.0100
angles: 90.00 90.00 90.00
Last column: nearest neighbours and their distance in Å.
Space group P4/mmm (No. 123)
Unique sites:
Y  0.0000  0.0000  0.0000 [1 per cell]  8 Re 3.04, 4 Y 3.20
Re  0.5000  0.5000  0.2892 [2 per cell]  4 Mo 2.70, 1 Re 2.96
Mo  0.0000  0.0000  0.5000 [1 per cell]  8 Re 2.70

**Spin magnetization**: 0.00 μB/f.u.
**Total DFT energy (no corrections)**: -41.47 eV per formula unit
**D(E_F)**: 2.3 states/eV per cell

---

VASP calculation (PBE-GGA) on a relaxed structure of CuPbW2.

abc: 3.8277 3.8277 20.2086
angles: 90.00 90.00 90.00
Last column: nearest neighbours and their distance in Å.
Space group I-42d (No. 122)
Unique sites:
Cu  0.0000  0.0000  0.0000 [4 per cell]  4 Pb 2.71, 4 W 2.84
Pb  0.0000  0.0000  0.5000 [4 per cell]  4 Cu 2.71, 4 W 2.89
W  0.2326  0.2500  0.1250 [8 per cell]  4 W 2.61-2.80, 2 Cu 2.84, 2 Pb 2.89

**Spin magnetization**: 0.00 μB/f.u.
**Total DFT energy (no corrections)**: -29.77 eV per formula unit
**D(E_F)**: 10.9 states/eV per cell